DFT (PBE-GGA) results for crystalline V3AuSe at its relaxed geometry.

a b c (Å): 4.513 4.513 4.513
angles (deg): 90.00 90.00 90.00
Site moments in Bohr magnetons follow the coordinates.
Fractional coordinates of all 5 atoms:
Au 0.500 0.500 0.500  0.06
Se 0.000 0.000 0.000  -0.02
V 0.000 0.500 0.000  1.39
V 0.000 0.000 0.500  1.39
V 0.500 0.000 0.000  1.39

Fermi-level density of states = 4.1 states/eV per cell
E above lowest polymorph = 0 meV/atom
E = -6.2852 eV/atom
volume = 18.38 Å³ per atom
crystal system = cubic
energy relative to the elements, uncorrected = 0.538 eV/atom

=====

DFT (PBE-GGA) results for crystalline Na5Te2H36AuO28 at its relaxed geometry.

a b c (Å): 6.014 9.011 12.756
angles (deg): 98.23 98.62 93.49
Fractional coordinates of all 72 atoms:
Na 0.000 0.000 0.500
Na 0.645 0.670 0.044
Na 0.355 0.330 0.956
Na 0.674 0.775 0.318
Na 0.326 0.225 0.682
Te 0.820 0.751 0.803
Te 0.180 0.249 0.197
H 0.143 0.709 0.699
H 0.857 0.291 0.301
H 0.405 0.763 0.829
H 0.595 0.237 0.171
H 0.117 0.481 0.793
H 0.883 0.519 0.207
H 0.379 0.526 0.817
H 0.621 0.474 0.183
H 0.007 0.684 0.517
H 0.993 0.316 0.483
H 0.786 0.732 0.561
H 0.214 0.268 0.439
H 0.426 0.648 0.612
H 0.574 0.352 0.388
H 0.263 0.494 0.566
H 0.737 0.506 0.434
H 0.834 0.194 0.662
H 0.166 0.806 0.338
H 0.900 0.068 0.734
H 0.100 0.932 0.266
H 0.566 0.058 0.854
H 0.434 0.942 0.146
H 0.307 0.014 0.835
H 0.693 0.986 0.165
H 0.732 0.423 0.689
H 0.268 0.577 0.311
H 0.678 0.356 0.564
H 0.322 0.644 0.436
H 0.790 0.459 0.893
H 0.210 0.541 0.107
H 0.839 0.359 0.987
H 0.161 0.641 0.013
H 0.476 0.907 0.624
H 0.524 0.093 0.376
H 0.248 0.920 0.663
H 0.752 0.080 0.337
Au 0.000 0.000 0.000
O 0.126 0.795 0.754
O 0.874 0.205 0.246
O 0.658 0.762 0.666
O 0.342 0.238 0.334
O 0.861 0.544 0.787
O 0.139 0.456 0.213
O 0.535 0.715 0.864
O 0.465 0.285 0.136
O 0.977 0.774 0.956
O 0.023 0.226 0.044
O 0.830 0.976 0.847
O 0.170 0.024 0.153
O 0.268 0.438 0.796
O 0.732 0.562 0.204
O 0.856 0.716 0.493
O 0.144 0.284 0.507
O 0.273 0.604 0.571
O 0.727 0.396 0.429
O 0.942 0.116 0.674
O 0.058 0.884 0.326
O 0.417 0.101 0.851
O 0.583 0.899 0.149
O 0.661 0.332 0.636
O 0.339 0.668 0.364
O 0.730 0.424 0.955
O 0.270 0.576 0.045
O 0.336 0.960 0.612
O 0.664 0.040 0.388

Fermi-level density of states = 0.0 states/eV per cell
E = -4.9428 eV/atom
volume = 9.36 Å³ per atom
crystal system = triclinic

=====

Copy entry 1 word for word.
DFT (PBE-GGA) results for crystalline V3AuSe at its relaxed geometry.

a b c (Å): 4.513 4.513 4.513
angles (deg): 90.00 90.00 90.00
Site moments in Bohr magnetons follow the coordinates.
Fractional coordinates of all 5 atoms:
Au 0.500 0.500 0.500  0.06
Se 0.000 0.000 0.000  -0.02
V 0.000 0.500 0.000  1.39
V 0.000 0.000 0.500  1.39
V 0.500 0.000 0.000  1.39

Fermi-level density of states = 4.1 states/eV per cell
E above lowest polymorph = 0 meV/atom
E = -6.2852 eV/atom
volume = 18.38 Å³ per atom
crystal system = cubic
energy relative to the elements, uncorrected = 0.538 eV/atom

=====

Repeat the first record exactly.
DFT (PBE-GGA) results for crystalline V3AuSe at its relaxed geometry.

a b c (Å): 4.513 4.513 4.513
angles (deg): 90.00 90.00 90.00
Site moments in Bohr magnetons follow the coordinates.
Fractional coordinates of all 5 atoms:
Au 0.500 0.500 0.500  0.06
Se 0.000 0.000 0.000  -0.02
V 0.000 0.500 0.000  1.39
V 0.000 0.000 0.500  1.39
V 0.500 0.000 0.000  1.39

Fermi-level density of states = 4.1 states/eV per cell
E above lowest polymorph = 0 meV/atom
E = -6.2852 eV/atom
volume = 18.38 Å³ per atom
crystal system = cubic
energy relative to the elements, uncorrected = 0.538 eV/atom

=====

Copy entry 2 word for word.
DFT (PBE-GGA) results for crystalline Na5Te2H36AuO28 at its relaxed geometry.

a b c (Å): 6.014 9.011 12.756
angles (deg): 98.23 98.62 93.49
Fractional coordinates of all 72 atoms:
Na 0.000 0.000 0.500
Na 0.645 0.670 0.044
Na 0.355 0.330 0.956
Na 0.674 0.775 0.318
Na 0.326 0.225 0.682
Te 0.820 0.751 0.803
Te 0.180 0.249 0.197
H 0.143 0.709 0.699
H 0.857 0.291 0.301
H 0.405 0.763 0.829
H 0.595 0.237 0.171
H 0.117 0.481 0.793
H 0.883 0.519 0.207
H 0.379 0.526 0.817
H 0.621 0.474 0.183
H 0.007 0.684 0.517
H 0.993 0.316 0.483
H 0.786 0.732 0.561
H 0.214 0.268 0.439
H 0.426 0.648 0.612
H 0.574 0.352 0.388
H 0.263 0.494 0.566
H 0.737 0.506 0.434
H 0.834 0.194 0.662
H 0.166 0.806 0.338
H 0.900 0.068 0.734
H 0.100 0.932 0.266
H 0.566 0.058 0.854
H 0.434 0.942 0.146
H 0.307 0.014 0.835
H 0.693 0.986 0.165
H 0.732 0.423 0.689
H 0.268 0.577 0.311
H 0.678 0.356 0.564
H 0.322 0.644 0.436
H 0.790 0.459 0.893
H 0.210 0.541 0.107
H 0.839 0.359 0.987
H 0.161 0.641 0.013
H 0.476 0.907 0.624
H 0.524 0.093 0.376
H 0.248 0.920 0.663
H 0.752 0.080 0.337
Au 0.000 0.000 0.000
O 0.126 0.795 0.754
O 0.874 0.205 0.246
O 0.658 0.762 0.666
O 0.342 0.238 0.334
O 0.861 0.544 0.787
O 0.139 0.456 0.213
O 0.535 0.715 0.864
O 0.465 0.285 0.136
O 0.977 0.774 0.956
O 0.023 0.226 0.044
O 0.830 0.976 0.847
O 0.170 0.024 0.153
O 0.268 0.438 0.796
O 0.732 0.562 0.204
O 0.856 0.716 0.493
O 0.144 0.284 0.507
O 0.273 0.604 0.571
O 0.727 0.396 0.429
O 0.942 0.116 0.674
O 0.058 0.884 0.326
O 0.417 0.101 0.851
O 0.583 0.899 0.149
O 0.661 0.332 0.636
O 0.339 0.668 0.364
O 0.730 0.424 0.955
O 0.270 0.576 0.045
O 0.336 0.960 0.612
O 0.664 0.040 0.388

Fermi-level density of states = 0.0 states/eV per cell
E = -4.9428 eV/atom
volume = 9.36 Å³ per atom
crystal system = triclinic